Record 1
Material: HfZnNiPd
Method: DFT, PBE
State: relaxed

CIF file:
```
data_HfZnNiPd
_chemical_formula_sum 'Hf4 Zn4 Ni4 Pd4'
_cell_length_a 6.245
_cell_length_b 6.245
_cell_length_c 6.245
_cell_angle_alpha 90.00
_cell_angle_beta 90.00
_cell_angle_gamma 90.00
_symmetry_space_group_name_H-M 'F -4 3 m'
_symmetry_Int_Tables_number 216
_symmetry_space_group_name_Hall 'F -4 2 3'
loop_
_atom_site_label
_atom_site_type_symbol
_atom_site_fract_x
_atom_site_fract_y
_atom_site_fract_z
_atom_site_occupancy
Hf1 Hf 0.000 0.000 0.000 1
Zn1 Zn 0.000 0.000 0.500 1
Ni1 Ni 0.250 0.250 0.750 1
Pd1 Pd 0.250 0.250 0.250 1
```

Summary:
calculated formation energy	-0.53	eV/atom

Record 2
Material: SrTePtO
Method: DFT, PBE
State: relaxed

CIF file:
```
data_SrTePtO
_chemical_formula_sum 'Sr4 Te4 Pt4 O4'
_cell_length_a 7.009
_cell_length_b 6.930
_cell_length_c 8.212
_cell_angle_alpha 90.00
_cell_angle_beta 90.00
_cell_angle_gamma 90.00
_symmetry_space_group_name_H-M 'P c a 21'
_symmetry_Int_Tables_number 29
loop_
_symmetry_equiv_pos_as_xyz
'x,y,z'
'-x,-y,z+1/2'
'-x+1/2,y,z+1/2'
'x+1/2,-y,z'
loop_
_atom_site_label
_atom_site_type_symbol
_atom_site_fract_x
_atom_site_fract_y
_atom_site_fract_z
_atom_site_occupancy
Sr1 Sr 0.145 0.203 0.000 1
Te1 Te 0.126 0.719 0.001 1
Pt1 Pt 0.001 0.500 0.750 1
O1 O 0.249 0.341 0.250 1
```

Summary:
total energy	-5.16	eV per atom

Record 3
Material: La12Fe2I17
Method: DFT, PBE
State: relaxed

CIF file:
```
data_La12Fe2I17
_chemical_formula_sum 'La12 Fe2 I17'
_cell_length_a 9.917
_cell_length_b 11.941
_cell_length_c 12.134
_cell_angle_alpha 74.44
_cell_angle_beta 75.51
_cell_angle_gamma 66.93
_symmetry_space_group_name_H-M 'P -1'
_symmetry_Int_Tables_number 2
loop_
_symmetry_equiv_pos_as_xyz
'x,y,z'
'-x,-y,-z'
loop_
_atom_site_label
_atom_site_type_symbol
_atom_site_fract_x
_atom_site_fract_y
_atom_site_fract_z
_atom_site_occupancy
La1 La 0.047 0.022 0.171 1
La2 La 0.061 0.164 0.501 1
La3 La 0.079 0.260 0.772 1
La4 La 0.214 0.501 0.409 1
La5 La 0.329 0.684 0.076 1
La6 La 0.344 0.785 0.346 1
Fe1 Fe 0.134 0.765 0.285 1
I1 I 0.040 0.558 0.672 1
I2 I 0.069 0.675 0.967 1
I3 I 0.199 0.860 0.609 1
I4 I 0.250 0.972 0.914 1
I5 I 0.289 0.084 0.251 1
I6 I 0.354 0.196 0.549 1
I7 I 0.386 0.288 0.869 1
I8 I 0.447 0.391 0.182 1
I9 I 0.500 0.500 0.500 1
```

Summary:
total energy	-4.49	eV per atom

Record 4
Material: Pd2Se3
Method: DFT, PBE
State: relaxed

CIF file:
```
data_Pd2Se3
_chemical_formula_sum 'Pd8 Se12'
_cell_length_a 6.515
_cell_length_b 11.231
_cell_length_c 6.487
_cell_angle_alpha 90.00
_cell_angle_beta 110.47
_cell_angle_gamma 90.00
_symmetry_space_group_name_H-M 'C 1 2/m 1'
_symmetry_Int_Tables_number 12
loop_
_symmetry_equiv_pos_as_xyz
'x,y,z'
'-x,-y,-z'
'-x,y,-z'
'x,-y,z'
'x+1/2,y+1/2,z'
'-x+1/2,-y+1/2,-z'
'-x+1/2,y+1/2,-z'
'x+1/2,-y+1/2,z'
loop_
_atom_site_label
_atom_site_type_symbol
_atom_site_fract_x
_atom_site_fract_y
_atom_site_fract_z
_atom_site_occupancy
Pd1 Pd 0.000 0.000 0.000 1
Pd2 Pd 0.000 0.165 0.500 1
Pd3 Pd 0.000 0.500 0.500 1
Se1 Se 0.223 0.000 0.741 1
Se2 Se 0.249 0.341 0.717 1
```

Summary:
total energy	-4.40	eV per atom

Record 5
Material: TmZnInS3
Method: DFT, PBE
State: relaxed

CIF file:
```
data_TmZnInS3
_chemical_formula_sum 'Tm4 Zn4 In4 S12'
_cell_length_a 3.919
_cell_length_b 14.115
_cell_length_c 10.416
_cell_angle_alpha 90.00
_cell_angle_beta 90.00
_cell_angle_gamma 90.00
_symmetry_space_group_name_H-M 'C m c m'
_symmetry_Int_Tables_number 63
_symmetry_space_group_name_Hall '-C 2c 2'
loop_
_atom_site_label
_atom_site_type_symbol
_atom_site_fract_x
_atom_site_fract_y
_atom_site_fract_z
_atom_site_occupancy
Tm1 Tm 0.000 0.000 0.000 1
Zn1 Zn 0.000 0.459 0.250 1
In1 In 0.000 0.255 0.750 1
S1 S 0.000 0.061 0.250 1
S2 S 0.000 0.374 0.060 1
```

Summary:
total energy	-4.64	eV per atom

Record 6
Material: Li4MgZnIr2
Method: DFT, PBE
State: relaxed

CIF file:
```
data_Li4MgZnIr2
_chemical_formula_sum 'Li4 Mg1 Zn1 Ir2'
_cell_length_a 4.281
_cell_length_b 4.281
_cell_length_c 6.113
_cell_angle_alpha 90.00
_cell_angle_beta 90.00
_cell_angle_gamma 90.00
_symmetry_space_group_name_H-M 'P -4 m 2'
_symmetry_Int_Tables_number 115
loop_
_symmetry_equiv_pos_as_xyz
'x,y,z'
'y,-x,-z'
'-x,-y,z'
'-y,x,-z'
'-x,y,z'
'-y,-x,-z'
'x,-y,z'
'y,x,-z'
loop_
_atom_site_label
_atom_site_type_symbol
_atom_site_fract_x
_atom_site_fract_y
_atom_site_fract_z
_atom_site_occupancy
Li1 Li 0.000 0.000 0.000 1
Li2 Li 0.000 0.500 0.732 1
Li3 Li 0.500 0.500 0.500 1
Mg1 Mg 0.500 0.500 0.000 1
Zn1 Zn 0.000 0.000 0.500 1
Ir1 Ir 0.000 0.500 0.260 1
```

Summary:
total energy	-3.71	eV per atom

Record 7
Material: AlZnCoAu
Method: DFT, PBE
State: relaxed

CIF file:
```
data_AlZnCoAu
_chemical_formula_sum 'Al4 Zn4 Co4 Au4'
_cell_length_a 6.078
_cell_length_b 6.078
_cell_length_c 6.078
_cell_angle_alpha 90.00
_cell_angle_beta 90.00
_cell_angle_gamma 90.00
_symmetry_space_group_name_H-M 'F -4 3 m'
_symmetry_Int_Tables_number 216
_symmetry_space_group_name_Hall 'F -4 2 3'
loop_
_atom_site_label
_atom_site_type_symbol
_atom_site_fract_x
_atom_site_fract_y
_atom_site_fract_z
_atom_site_occupancy
Al1 Al 0.000 0.000 0.000 1
Zn1 Zn 0.000 0.000 0.500 1
Co1 Co 0.250 0.250 0.250 1
Au1 Au 0.250 0.250 0.750 1
```

Summary:
total energy	-4.05	eV per atom

Record 8
Material: ThTeMo
Method: DFT, PBE
State: relaxed

CIF file:
```
data_ThTeMo
_chemical_formula_sum 'Th4 Te4 Mo4'
_cell_length_a 6.758
_cell_length_b 6.758
_cell_length_c 6.758
_cell_angle_alpha 90.00
_cell_angle_beta 90.00
_cell_angle_gamma 90.00
_symmetry_space_group_name_H-M 'F -4 3 m'
_symmetry_Int_Tables_number 216
_symmetry_space_group_name_Hall 'F -4 2 3'
loop_
_atom_site_label
_atom_site_type_symbol
_atom_site_fract_x
_atom_site_fract_y
_atom_site_fract_z
_atom_site_occupancy
Th1 Th 0.000 0.000 0.000 1
Te1 Te 0.000 0.000 0.500 1
Mo1 Mo 0.250 0.250 0.750 1
```

Summary:
total energy	-7.12	eV per atom

Record 9
Material: Dy3HoEr2As2Os
Method: DFT, PBE
State: relaxed

CIF file:
```
data_Dy3HoEr2As2Os
_chemical_formula_sum 'Dy6 Ho2 Er4 As4 Os2'
_cell_length_a 4.146
_cell_length_b 13.613
_cell_length_c 7.842
_cell_angle_alpha 90.00
_cell_angle_beta 90.00
_cell_angle_gamma 90.00
_symmetry_space_group_name_H-M 'A m m 2'
_symmetry_Int_Tables_number 38
loop_
_symmetry_equiv_pos_as_xyz
'x,y,z'
'-x,-y,z'
'-x,y,z'
'x,-y,z'
'x,y+1/2,z+1/2'
'-x,-y+1/2,z+1/2'
'-x,y+1/2,z+1/2'
'x,-y+1/2,z+1/2'
loop_
_atom_site_label
_atom_site_type_symbol
_atom_site_fract_x
_atom_site_fract_y
_atom_site_fract_z
_atom_site_occupancy
Dy1 Dy 0.000 0.000 0.000 1
Dy2 Dy 0.000 0.202 0.606 1
Ho1 Ho 0.500 0.000 0.649 1
Er1 Er 0.500 0.123 0.281 1
As1 As 0.500 0.167 0.904 1
Os1 Os 0.000 0.000 0.402 1
```

Summary:
total energy	-6.09	eV per atom

Record 10
Material: FeBi
Method: DFT, PBE
State: relaxed

CIF file:
```
data_FeBi
_chemical_formula_sum 'Fe4 Bi4'
_cell_length_a 5.232
_cell_length_b 4.184
_cell_length_c 8.018
_cell_angle_alpha 90.00
_cell_angle_beta 90.00
_cell_angle_gamma 90.00
_symmetry_space_group_name_H-M 'P m m a'
_symmetry_Int_Tables_number 51
loop_
_symmetry_equiv_pos_as_xyz
'x,y,z'
'-x,-y,-z'
'-x+1/2,-y,z'
'x+1/2,y,-z'
'x+1/2,-y,-z'
'-x+1/2,y,z'
'-x,y,-z'
'x,-y,z'
loop_
_atom_site_label
_atom_site_type_symbol
_atom_site_fract_x
_atom_site_fract_y
_atom_site_fract_z
_atom_site_occupancy
Fe1 Fe 0.000 0.000 0.000 1
Fe2 Fe 0.250 0.500 0.080 1
Bi1 Bi 0.250 0.000 0.319 1
Bi2 Bi 0.250 0.500 0.750 1
```

Summary:
total energy	-6.03	eV per atom

Record 11
Material: TmHfTlTe3
Method: DFT, PBE
State: relaxed

CIF file:
```
data_TmHfTlTe3
_chemical_formula_sum 'Tm4 Hf4 Tl4 Te12'
_cell_length_a 4.072
_cell_length_b 15.299
_cell_length_c 11.456
_cell_angle_alpha 90.00
_cell_angle_beta 90.00
_cell_angle_gamma 90.00
_symmetry_space_group_name_H-M 'C m c m'
_symmetry_Int_Tables_number 63
_symmetry_space_group_name_Hall '-C 2c 2'
loop_
_atom_site_label
_atom_site_type_symbol
_atom_site_fract_x
_atom_site_fract_y
_atom_site_fract_z
_atom_site_occupancy
Tm1 Tm 0.000 0.071 0.250 1
Hf1 Hf 0.000 0.500 0.000 1
Tl1 Tl 0.000 0.255 0.750 1
Te1 Te 0.000 0.139 0.013 1
Te2 Te 0.000 0.433 0.250 1
```

Summary:
total energy	-5.08	eV per atom

Record 12
Material: Si2Os
Method: DFT, PBE
State: relaxed

CIF file:
```
data_Si2Os
_chemical_formula_sum 'Si8 Os4'
_cell_length_a 8.695
_cell_length_b 3.006
_cell_length_c 7.500
_cell_angle_alpha 90.00
_cell_angle_beta 118.93
_cell_angle_gamma 90.00
_symmetry_space_group_name_H-M 'C 1 2/m 1'
_symmetry_Int_Tables_number 12
loop_
_symmetry_equiv_pos_as_xyz
'x,y,z'
'-x,-y,-z'
'-x,y,-z'
'x,-y,z'
'x+1/2,y+1/2,z'
'-x+1/2,-y+1/2,-z'
'-x+1/2,y+1/2,-z'
'x+1/2,-y+1/2,z'
loop_
_atom_site_label
_atom_site_type_symbol
_atom_site_fract_x
_atom_site_fract_y
_atom_site_fract_z
_atom_site_occupancy
Si1 Si 0.105 0.000 0.394 1
Si2 Si 0.142 0.500 0.028 1
Os1 Os 0.155 0.500 0.702 1
```

Summary:
total energy	-7.78	eV per atom